# 1
A relaxed PuCdRuRh crystal. Source: Alexandria, functional PBE.

Cell: 4.673 4.673 4.673 Å, 60.00 60.00 60.00°
Sites, in units of the cell vectors:
Pu 0.000 0.000 0.000
Cd 0.500 0.500 0.500
Ru 0.750 0.750 0.750
Rh 0.250 0.250 0.250

ΔH_f (0 K) = -20 kJ per mole of atoms
crystal system = cubic
SG = F-43m
size of the total moment = 3.9 μB/f.u.
Fermi-level density of states = 2.656 states/eV/cell

---

# 2
A relaxed AlRh2I crystal. Source: Alexandria, functional PBE.

Cell: 7.747 7.747 7.747 Å, 141.57 141.57 55.48°
Sites, in units of the cell vectors:
Al 0.000 0.000 0.000
Al 0.750 0.250 0.500
Rh 0.084 0.625 0.959
Rh 0.375 0.334 0.459
Rh 0.666 0.125 0.041
Rh 0.875 0.916 0.541
I 0.250 0.750 0.500
I 0.500 0.500 0.000

crystal system = tetragonal
SG = I-42d
size of the total moment = 0.0 μB/f.u.
Fermi-level density of states = 6.497 states/eV/cell
energy relative to the elements, uncorrected = 0.21 eV per atom